# Pr2Nd2DyY4 | Alexandria via LeMat-Bulk | PBE | relaxed
data_Pr2Nd2DyY4
_chemical_formula_sum 'Pr4 Nd4 Dy2 Y8'
_symmetry_space_group_name_H-M 'C 1 2/m 1'
_symmetry_Int_Tables_number 12
_cell_length_a 18.979
_cell_length_b 3.657
_cell_length_c 9.737
_cell_angle_alpha 90.00
_cell_angle_beta 115.77
_cell_angle_gamma 90.00
loop_
_symmetry_equiv_pos_as_xyz
'x,y,z'
'-x,-y,-z'
'-x,y,-z'
'x,-y,z'
'x+1/2,y+1/2,z'
'-x+1/2,-y+1/2,-z'
'-x+1/2,y+1/2,-z'
'x+1/2,-y+1/2,z'
loop_
_atom_site_label
_atom_site_fract_x
_atom_site_fract_y
_atom_site_fract_z
Pr1 0.148 0.000 0.164
Nd1 0.165 0.500 0.501
Dy1 0.000 0.000 0.500
Y1 0.019 0.500 0.831
Y2 0.184 0.000 0.834
# * crystal system: monoclinic
# * volume: 33.8 A^3/atom
# * E_form: 0.0035 eV/atom
# * D(E_F): 1.4079 states/eV per atom